Entry 1:
DFT (PBE) results for an optimized crystal structure of Sc4AsPbSe2.

Summary:
For the raw formation energy, the calculation gives -1220 meV/atom. The total energy is -50.42 eV per formula unit. As for the space group: No. 10.

Unit cell a=3.943 b=6.890 c=6.899 alpha=70.79 beta=90.00 gamma=90.00
Atoms (fractional coordinates):
1 Se 0.500 0.000 0.500
2 Se 0.000 0.000 0.000
3 Pb 0.500 0.500 0.000
4 Sc 0.000 0.243 0.265
5 Sc 0.500 0.745 0.263
6 Sc 0.000 0.757 0.735
7 Sc 0.500 0.255 0.737
8 As 0.000 0.500 0.500

***

Entry 2:
DFT (PBE) results for an optimized crystal structure of ZrTaFe2H.

Summary:
The total energy is -36.46 eV per formula unit. As for the space group: No. 123.

Unit cell a=4.673 b=3.351 c=4.673 alpha=90.00 beta=90.00 gamma=90.00
Atoms (fractional coordinates):
1 Fe 0.500 0.000 0.000
2 Fe 0.000 0.000 0.500
3 H 0.000 0.500 0.000
4 Ta 0.500 0.500 0.500
5 Zr 0.000 0.000 0.000